Below is an optimized crystal structure of La2MnGaO6, with properties calculated at the GGA+U level.

## Properties
total DFT energy (no corrections): -7.52 eV/atom

Unit cell a=5.549 b=5.566 c=7.828 alpha=89.92 beta=89.67 gamma=89.97
Space group P-1 (No. 2)
Unique sites:
1 La 0.008 0.037 0.251 [2 per cell]
2 La 0.491 0.537 0.249 [2 per cell]
3 Mn 0.000 0.500 0.500 [1 per cell]
4 Mn 0.500 0.000 0.000 [1 per cell]
5 Ga 0.000 0.500 0.000 [1 per cell]
6 Ga 0.500 0.000 0.500 [1 per cell]
7 O 0.076 0.512 0.750 [2 per cell]
8 O 0.216 0.787 0.039 [2 per cell]
9 O 0.217 0.785 0.458 [2 per cell]
10 O 0.284 0.285 0.041 [2 per cell]
11 O 0.284 0.286 0.461 [2 per cell]
12 O 0.425 0.011 0.751 [2 per cell]